A relaxed structure of LaPt2Cl. Source: the Alexandria database, functional PBE-GGA.

Geometry as POSCAR:
```
LaPt2Cl
1.0
3.8604 0.0000 0.0000
0.0000 3.8459 0.0000
-1.7147 0.0000 7.0010
La Pt Cl
1 2 1
Direct
0.0000 0.0000 0.0000
0.1374 0.5000 0.3057
0.6365 0.0000 0.3046
0.4129 0.5000 0.8045
```

Values from the calculation:
- spin magnetization (μB per formula unit) = 0.000
- DOS(E_F) (states/eV/f.u.) = 1.336
- formation energy (no corrections) (eV per formula unit) = -4.31

=====

A relaxed structure of LaPt2Cl2. Source: the Alexandria database, functional PBE-GGA.

Geometry as POSCAR:
```
LaPt2Cl2
1.0
7.5889 0.0000 0.0000
0.0000 7.5889 0.0000
0.0000 0.0000 3.8898
La Pt Cl
2 4 4
Direct
0.0000 0.0000 0.0000
0.5000 0.5000 0.0000
0.1203 0.3797 0.5000
0.3797 0.8797 0.5000
0.6203 0.1203 0.5000
0.8797 0.6203 0.5000
0.2066 0.7066 0.0000
0.2934 0.2066 0.0000
0.7066 0.7934 0.0000
0.7934 0.2934 0.0000
```

Values from the calculation:
- spin magnetization (μB per formula unit) = 0.000
- DOS(E_F) (states/eV/f.u.) = 3.493
- formation energy (no corrections) (eV per formula unit) = -1.72